LaDyScAl after structural relaxation, computed with PBE.

Unit cell a=5.336 b=5.336 c=5.336 alpha=60.00 beta=60.00 gamma=60.00
Each line ends with the local moment (μB).
Atoms (fractional coordinates):
Sc1 0.000 0.000 0.000  0.38
Al1 0.500 0.500 0.500  -0.01
La1 0.750 0.750 0.750  0.13
Dy1 0.250 0.250 0.250  0.25

## Properties
Fermi-level density of states ... 4.90 states/eV/f.u.
Space group ... No. 216
E_form ... -0.105 eV/atom